Record 1
# TbGa2Cu | OQMD via LeMat-Bulk | PBE | relaxed
# calculated density = 8.065 g/cm³
# DFT total energy = -65.79 eV for the cell shown
data_TbGa2Cu
_cell_length_a 4.1499
_cell_length_b 17.7973
_cell_length_c 4.0357
_cell_angle_alpha 90.00
_cell_angle_beta 90.00
_cell_angle_gamma 90.00
_space_group_name_H-M_alt 'C m m m'
_space_group_IT_number 65
_space_group_name_Hall '-C 2 2'
loop_
_atom_site_label
_atom_site_type_symbol
_atom_site_fract_x
_atom_site_fract_y
_atom_site_fract_z
Tb1 Tb 0.0000 0.1433 0.0000
Ga1 Ga 0.0000 0.0000 0.5000
Ga2 Ga 0.0000 0.2866 0.5000
Ga3 Ga 0.0000 0.5000 0.0000
Cu1 Cu 0.0000 0.4197 0.5000



Record 2
# Zr4FeCuN2 | OQMD via LeMat-Bulk | PBE | relaxed
# calculated density = 6.971 g/cm³
# DFT total energy = -68.82 eV for the cell shown
data_Zr4FeCuN2
_cell_length_a 3.2456
_cell_length_b 3.2456
_cell_length_c 13.3778
_cell_angle_alpha 90.00
_cell_angle_beta 90.00
_cell_angle_gamma 120.00
_space_group_name_H-M_alt 'P -6 m 2'
_space_group_IT_number 187
_space_group_name_Hall 'P -6 2'
loop_
_atom_site_label
_atom_site_type_symbol
_atom_site_fract_x
_atom_site_fract_y
_atom_site_fract_z
Zr1 Zr 0.0000 0.0000 0.1463
Zr2 Zr 0.6667 0.3333 0.3445
Fe1 Fe 0.6667 0.3333 0.0000
Cu1 Cu 0.0000 0.0000 0.5000
N1 N 0.3333 0.6667 0.2480



Record 3
# NbAlFePd | OQMD via LeMat-Bulk | PBE | relaxed
# calculated density = 7.710 g/cm³
# distance to the lowest polymorph of the same formula = 0.2314 eV/atom
# DFT total energy = -110.59 eV for the cell shown
data_NbAlFePd
_cell_length_a 6.2409
_cell_length_b 6.2409
_cell_length_c 6.2409
_cell_angle_alpha 90.00
_cell_angle_beta 90.00
_cell_angle_gamma 90.00
_space_group_name_H-M_alt 'F -4 3 m'
_space_group_IT_number 216
_space_group_name_Hall 'F -4 2 3'
loop_
_atom_site_label
_atom_site_type_symbol
_atom_site_fract_x
_atom_site_fract_y
_atom_site_fract_z
Nb1 Nb 0.0000 0.0000 0.0000
Al1 Al 0.2500 0.2500 0.2500
Fe1 Fe 0.0000 0.0000 0.5000
Pd1 Pd 0.2500 0.2500 0.7500



Record 4
# LiErCoS3 | OQMD via LeMat-Bulk | PBE | relaxed
# calculated density = 4.900 g/cm³
# DFT total energy = -131.84 eV for the cell shown
data_LiErCoS3
_cell_length_a 3.7222
_cell_length_b 11.8207
_cell_length_c 10.1460
_cell_angle_alpha 90.00
_cell_angle_beta 90.00
_cell_angle_gamma 90.00
_space_group_name_H-M_alt 'C m c m'
_space_group_IT_number 63
_space_group_name_Hall '-C 2c 2'
loop_
_atom_site_label
_atom_site_type_symbol
_atom_site_fract_x
_atom_site_fract_y
_atom_site_fract_z
Li1 Li 0.0000 0.2306 0.2500
Er1 Er 0.0000 0.0000 0.0000
Co1 Co 0.0000 0.4921 0.7500
S1 S 0.0000 0.0881 0.7500
S2 S 0.0000 0.3591 0.5947



Record 5
# AcSi2Pt2 | OQMD via LeMat-Bulk | PBE | relaxed
# calculated density = 11.442 g/cm³
# DFT total energy = -63.69 eV for the cell shown
data_AcSi2Pt2
_cell_length_a 4.4073
_cell_length_b 4.4073
_cell_length_c 10.0616
_cell_angle_alpha 90.00
_cell_angle_beta 90.00
_cell_angle_gamma 90.00
_space_group_name_H-M_alt 'I 4/m m m'
_space_group_IT_number 139
_space_group_name_Hall '-I 4 2'
loop_
_atom_site_label
_atom_site_type_symbol
_atom_site_fract_x
_atom_site_fract_y
_atom_site_fract_z
Ac1 Ac 0.0000 0.0000 0.0000
Si1 Si 0.0000 0.0000 0.3724
Pt1 Pt 0.0000 0.5000 0.2500



Record 6
# Ta6Nb7 | OQMD via LeMat-Bulk | PBE | relaxed
# formation energy from the elements = 0.136 eV per atom
# calculated density = 11.672 g/cm³
# DFT total energy = -420.00 eV for the cell shown
data_Ta6Nb7
_cell_length_a 5.5058
_cell_length_b 5.5058
_cell_length_c 28.2234
_cell_angle_alpha 90.00
_cell_angle_beta 90.00
_cell_angle_gamma 120.00
_space_group_name_H-M_alt 'R -3 m'
_space_group_IT_number 166
_space_group_name_Hall '-R 3 2"'
loop_
_atom_site_label
_atom_site_type_symbol
_atom_site_fract_x
_atom_site_fract_y
_atom_site_fract_z
Ta1 Ta 0.0035 0.5018 0.4107
Nb1 Nb 0.0000 0.0000 0.0000
Nb2 Nb 0.0000 0.0000 0.1674
Nb3 Nb 0.0000 0.0000 0.3520
Nb4 Nb 0.0000 0.0000 0.4552



Record 7
# LiNdZnTe3 | OQMD via LeMat-Bulk | PBE | relaxed
# calculated density = 5.546 g/cm³
# distance to the lowest polymorph of the same formula = 0.0122 eV/atom
# DFT total energy = -92.07 eV for the cell shown
data_LiNdZnTe3
_cell_length_a 12.8607
_cell_length_b 4.3757
_cell_length_c 12.7559
_cell_angle_alpha 90.00
_cell_angle_beta 90.00
_cell_angle_gamma 90.00
_space_group_name_H-M_alt 'P n m a'
_space_group_IT_number 62
loop_
_space_group_symop_operation_xyz
'x,y,z'
'-x,-y,-z'
'-x+1/2,-y,z+1/2'
'x+1/2,y,-z+1/2'
'x+1/2,-y+1/2,-z+1/2'
'-x+1/2,y+1/2,z+1/2'
'-x,y+1/2,-z'
'x,-y+1/2,z'
loop_
_atom_site_label
_atom_site_type_symbol
_atom_site_fract_x
_atom_site_fract_y
_atom_site_fract_z
Li1 Li 0.1213 0.2500 0.0069
Nd1 Nd 0.0411 0.2500 0.6807
Zn1 Zn 0.2393 0.2500 0.2869
Te1 Te 0.0681 0.7500 0.8645
Te2 Te 0.0949 0.2500 0.4302
Te3 Te 0.2080 0.7500 0.1656



Record 8
# NpNbZn | OQMD via LeMat-Bulk | PBE | relaxed
# formation energy from the elements = 1.221 eV per atom
# calculated density = 10.022 g/cm³
# distance to the lowest polymorph of the same formula = 0.3846 eV/atom
# DFT total energy = -81.86 eV for the cell shown
data_NpNbZn
_cell_length_a 6.3989
_cell_length_b 6.3989
_cell_length_c 6.3989
_cell_angle_alpha 90.00
_cell_angle_beta 90.00
_cell_angle_gamma 90.00
_space_group_name_H-M_alt 'F -4 3 m'
_space_group_IT_number 216
_space_group_name_Hall 'F -4 2 3'
loop_
_atom_site_label
_atom_site_type_symbol
_atom_site_fract_x
_atom_site_fract_y
_atom_site_fract_z
Np1 Np 0.0000 0.0000 0.0000
Nb1 Nb 0.2500 0.2500 0.7500
Zn1 Zn 0.2500 0.2500 0.2500